A relaxed structure of NaHgTeAu, computed with PBE-GGA.

Values from the calculation:
- M_tot (μB per atom) = 0.000
- energy relative to the elements, uncorrected (eV per formula unit) = -0.7
- D(E_F) (states/eV per cell) = 9.12

a b c (Å): 7.278 7.278 7.278
angles (deg): 90.00 90.00 90.00
Space group F-43m (No. 216)
Inequivalent atoms, fractional coordinates:
Na  0.000  0.000  0.000
Hg  0.250  0.250  0.750
Te  0.250  0.250  0.250
Au  0.000  0.000  0.500

A relaxed structure of Na4LaDy3Te8, computed with PBE-GGA.

Values from the calculation:
- M_tot (μB per atom) = 0.000
- energy relative to the elements, uncorrected (eV per formula unit) = -21.4

a b c (Å): 8.9636 8.9636 22.6926
angles (deg): 90.00 90.00 120.00
Space group R-3m (No. 166, hexagonal axes)
Inequivalent atoms, fractional coordinates:
Na  0.0000  0.0000  0.0000
Na  0.0000  0.5000  0.0000
La  0.0000  0.0000  0.5000
Dy  0.0000  0.5000  0.5000
Te  0.0000  0.0000  0.2435
Te  0.0099  0.5049  0.7549

A relaxed structure of ZrHg2Os, computed with PBE-GGA.

Values from the calculation:
- M_tot (μB per atom) = 0.000
- energy above the lowest structure with this stoichiometry (eV per formula unit) = 0.63
- energy of formation (eV per atom) = 0.242
- D(E_F) (states/eV per cell) = 3.26

a b c (Å): 3.857 4.615 8.787
angles (deg): 90.00 90.00 90.00
Space group Imm2 (No. 44)
Inequivalent atoms, fractional coordinates:
Zr  0.000  0.000  0.000
Hg  0.000  0.000  0.530
Hg  0.000  0.500  0.771
Os  0.000  0.500  0.287

A relaxed structure of Al6Au23, computed with PBE-GGA.

Values from the calculation:
- M_tot (μB per atom) = 0.000
- energy of formation (eV per atom) = -0.100
- D(E_F) (states/eV per cell) = 64.21

a b c (Å): 12.853 12.853 12.853
angles (deg): 90.00 90.00 90.00
Space group Fm-3m (No. 225)
Inequivalent atoms, fractional coordinates:
Al  0.000  0.000  0.219
Au  0.000  0.000  0.500
Au  0.000  0.171  0.329
Au  0.126  0.126  0.126
Au  0.250  0.250  0.250

A relaxed structure of Mg6Hg6Ge, computed with PBE-GGA.

Values from the calculation:
- M_tot (μB per atom) = 0.000
- energy of formation (eV per atom) = -0.007
- D(E_F) (states/eV per cell) = 8.87

a b c (Å): 6.182 10.723 9.294
angles (deg): 90.00 90.00 90.00
Space group Cmmm (No. 65)
Inequivalent atoms, fractional coordinates:
Mg  0.000  0.000  0.182
Mg  0.000  0.333  0.000
Mg  0.000  0.333  0.500
Hg  0.000  0.500  0.249
Hg  0.250  0.250  0.249
Ge  0.000  0.000  0.500

A relaxed structure of CoHg2Pb, computed with PBE-GGA.

Values from the calculation:
- M_tot (μB per atom) = 0.241
- energy of formation (eV per atom) = 0.322
- D(E_F) (states/eV per cell) = 3.89

a b c (Å): 3.231 3.231 8.547
angles (deg): 90.00 90.00 90.00
Space group P4mm (No. 99)
Inequivalent atoms, fractional coordinates:
Co  0.000  0.000  0.000
Hg  0.000  0.000  0.472
Hg  0.500  0.500  0.182
Pb  0.500  0.500  0.799